! BaIrPb2, single point on PBEsol structure, DFT meta-GGA SCAN; values from VASP
! * ΔH_f (0 K): 0.2119 eV/atom
&SYSTEM
  ibrav = 0, nat = 4, ntyp = 3
/
ATOMIC_SPECIES
Ba 137.33 Ba.upf
Ir 192.22 Ir.upf
Pb 207.20 Pb.upf
CELL_PARAMETERS angstrom
4.578 0.000 0.000
0.000 4.578 0.000
0.000 0.000 5.004
ATOMIC_POSITIONS angstrom
Ba 0.000 0.000 0.000
Ir 2.289 2.289 0.000
Pb 0.000 2.289 2.502
Pb 2.289 0.000 2.502

---

! Ba2SbIrPb, single point on PBEsol structure, DFT meta-GGA SCAN; values from VASP
! * raw formation energy: 129.7 meV/atom
&SYSTEM
  ibrav = 0, nat = 5, ntyp = 4
/
ATOMIC_SPECIES
Ba 137.33 Ba.upf
Sb 121.76 Sb.upf
Ir 192.22 Ir.upf
Pb 207.20 Pb.upf
CELL_PARAMETERS angstrom
6.387 0.000 0.000
0.000 6.387 0.000
0.000 0.000 4.937
ATOMIC_POSITIONS angstrom
Ba 0.000 3.194 0.000
Ba 3.194 0.000 0.000
Sb 0.000 0.000 2.469
Ir 3.194 3.194 2.469
Pb 3.194 3.194 0.000

---

Number 1 is which compound?
BaIrPb2